An optimized crystal structure of Er7Co2Pb2. Source: the Alexandria database, functional GGA-PBE.

Unit cell a=7.9035 b=10.8002 c=7.1073 alpha=90.00 beta=90.00 gamma=90.00
Space group Cmmm (No. 65)
One atom of each set of equivalent atoms:
Er: 0.0000 0.0000 0.0000 [2 per cell]
Er: 0.0000 0.5000 0.2196 [4 per cell]
Er: 0.2500 0.2500 0.2346 [8 per cell]
Co: 0.0000 0.2874 0.0000 [4 per cell]
Pb: 0.1921 0.0000 0.5000 [4 per cell]

Mass density = 9.323 Mg/m³
DOS(E_F) = 0.725 states/eV/atom
Total DFT energy (no corrections) = -111.50 eV per cell
E_form = -198.2 meV/atom